Entry 1:
CdPPt: optimized geometry, PBE.

The structure in POSCAR format:
```
CdPPt
1.0
7.218 0.000 0.000
0.000 4.876 0.000
-3.579 0.000 6.553
Cd P Pt
4 4 4
Cartesian
-0.431 0.385 2.551 Cd
-2.221 2.053 5.828 Cd
5.859 2.823 0.725 Cd
4.070 4.491 4.002 Cd
0.160 2.618 4.196 P
1.949 4.696 0.919 P
1.689 0.180 5.634 P
3.479 2.258 2.357 P
1.146 2.844 2.084 Pt
-0.644 4.470 5.361 Pt
4.283 0.406 1.192 Pt
2.493 2.032 4.469 Pt
```

E_tot	-52.290	eV for the cell shown
SG	P2_1/c, No. 14
energy of formation	-236	meV/atom
energy above the lowest structure with this stoichiometry	0.024	eV per atom


Entry 2:
CdP2Pt: optimized geometry, PBE.

The structure in POSCAR format:
```
CdP2Pt
1.0
0.000 3.247 3.247
3.247 0.000 3.247
3.247 3.247 0.000
Cd P Pt
1 2 1
Cartesian
0.000 0.000 0.000 Cd
1.624 1.624 1.624 P
3.247 3.247 3.247 P
4.871 4.871 4.871 Pt
```

E_tot	-15.957	eV for the cell shown
SG	F-43m, No. 216
energy of formation	455	meV/atom


Entry 3:
Cd2PPt2: optimized geometry, PBE.

The structure in POSCAR format:
```
Cd2PPt2
1.0
6.429 0.000 0.000
0.000 6.429 0.000
0.000 0.000 4.419
Cd P Pt
4 2 4
Cartesian
1.003 2.211 0.000 Cd
2.211 5.426 0.000 Cd
4.218 1.003 0.000 Cd
5.426 4.218 0.000 Cd
0.000 0.000 2.209 P
3.215 3.215 2.209 P
1.032 4.247 2.209 Pt
2.182 1.032 2.209 Pt
4.247 5.397 2.209 Pt
5.397 2.182 2.209 Pt
```

E_tot	-40.393	eV for the cell shown
SG	P4/mbm, No. 127
energy of formation	-175	meV/atom


Entry 4:
CdP2Pt: optimized geometry, PBE.

The structure in POSCAR format:
```
CdP2Pt
1.0
4.197 0.000 0.000
0.000 4.197 0.000
0.000 0.000 3.801
Cd P Pt
1 2 1
Cartesian
0.000 0.000 0.000 Cd
0.000 2.098 1.900 P
2.098 0.000 1.900 P
2.098 2.098 0.000 Pt
```

E_tot	-16.457	eV for the cell shown
SG	P4/mmm, No. 123
energy of formation	330	meV/atom


Q: What is the energy of formation in the fourth record?
A: 330 meV/atom


Q: Which of these has the lowest E_tot?
A: CdPPt


Q: Look up the E_tot of the fourth one.
A: -16.457 eV for the cell shown